Entry from Alexandria via LeMat-Bulk: InGaTe2P after structural relaxation (PBE-GGA).

Cell and atoms, written as CIF:
```
data_InGaTe2P
_chemical_formula_sum 'In1 Ga1 Te2 P1'
_space_group_name_H-M_alt 'P 4/m m m'
_space_group_IT_number 123
_space_group_name_Hall '-P 4 2'
_cell_length_a 5.571
_cell_length_b 5.571
_cell_length_c 4.646
_cell_angle_alpha 90.00
_cell_angle_beta 90.00
_cell_angle_gamma 90.00
loop_
_atom_site_label
_atom_site_type_symbol
_atom_site_fract_x
_atom_site_fract_y
_atom_site_fract_z
_atom_site_occupancy
In1 In 0.000 0.000 0.000 1
Ga1 Ga 0.500 0.500 0.500 1
Te1 Te 0.000 0.500 0.500 1
P1 P 0.500 0.500 0.000 1
```

Values from the calculation:
The value obtained for the formation energy (no corrections) is 0.340 eV/atom. The total energy comes out at -3.15 eV per atom.

***

Entry from Alexandria via LeMat-Bulk: Fe2CoNi after structural relaxation (PBE-GGA).

Cell and atoms, written as CIF:
```
data_Fe2CoNi
_chemical_formula_sum 'Fe2 Co1 Ni1'
_space_group_name_H-M_alt 'P 1 m 1'
_space_group_IT_number 6
_cell_length_a 2.454
_cell_length_b 4.013
_cell_length_c 4.720
_cell_angle_alpha 90.00
_cell_angle_beta 100.44
_cell_angle_gamma 90.00
loop_
_space_group_symop_operation_xyz
'x,y,z'
'x,-y,z'
loop_
_atom_site_label
_atom_site_type_symbol
_atom_site_fract_x
_atom_site_fract_y
_atom_site_fract_z
_atom_site_occupancy
Fe1 Fe 0.000 0.000 0.000 1
Fe2 Fe 0.229 0.500 0.734 1
Co1 Co 0.469 0.000 0.503 1
Ni1 Ni 0.743 0.500 0.234 1
```

Values from the calculation:
The total energy comes out at -7.44 eV per atom. Its energy relative to the elements is 17 meV/atom.

***

Entry from Alexandria via LeMat-Bulk: PaTe5 after structural relaxation (PBE-GGA).

Cell and atoms, written as CIF:
```
data_PaTe5
_chemical_formula_sum 'Pa2 Te10'
_space_group_name_H-M_alt 'C m m m'
_space_group_IT_number 65
_space_group_name_Hall '-C 2 2'
_cell_length_a 4.481
_cell_length_b 18.627
_cell_length_c 4.433
_cell_angle_alpha 90.00
_cell_angle_beta 90.00
_cell_angle_gamma 90.00
loop_
_atom_site_label
_atom_site_type_symbol
_atom_site_fract_x
_atom_site_fract_y
_atom_site_fract_z
_atom_site_occupancy
Pa1 Pa 0.000 0.000 0.000 1
Te1 Te 0.000 0.143 0.500 1
Te2 Te 0.000 0.357 0.000 1
Te3 Te 0.000 0.500 0.500 1
```

Values from the calculation:
The value obtained for the formation energy (no corrections) is -0.321 eV/atom. The total energy comes out at -4.52 eV per atom.

***

Entry from Alexandria via LeMat-Bulk: NdLuAlIn after structural relaxation (PBE-GGA).

Cell and atoms, written as CIF:
```
data_NdLuAlIn
_chemical_formula_sum 'Nd4 Lu4 Al4 In4'
_space_group_name_H-M_alt 'F -4 3 m'
_space_group_IT_number 216
_space_group_name_Hall 'F -4 2 3'
_cell_length_a 7.432
_cell_length_b 7.432
_cell_length_c 7.432
_cell_angle_alpha 90.00
_cell_angle_beta 90.00
_cell_angle_gamma 90.00
loop_
_atom_site_label
_atom_site_type_symbol
_atom_site_fract_x
_atom_site_fract_y
_atom_site_fract_z
_atom_site_occupancy
Nd1 Nd 0.000 0.000 0.000 1
Lu1 Lu 0.000 0.000 0.500 1
Al1 Al 0.250 0.250 0.750 1
In1 In 0.250 0.250 0.250 1
```

Values from the calculation:
The total energy comes out at -4.32 eV per atom. Its energy relative to the elements is -380 meV/atom.

***

Entry from Alexandria via LeMat-Bulk: Gd2ScBr after structural relaxation (PBE-GGA).

Cell and atoms, written as CIF:
```
data_Gd2ScBr
_chemical_formula_sum 'Gd6 Sc3 Br3'
_space_group_name_H-M_alt 'R -3 m'
_space_group_IT_number 166
_space_group_name_Hall '-R 3 2"'
_cell_length_a 3.6280
_cell_length_b 3.6280
_cell_length_c 29.8727
_cell_angle_alpha 90.00
_cell_angle_beta 90.00
_cell_angle_gamma 120.00
loop_
_atom_site_label
_atom_site_type_symbol
_atom_site_fract_x
_atom_site_fract_y
_atom_site_fract_z
_atom_site_occupancy
Gd1 Gd 0.0000 0.0000 0.2455 1
Sc1 Sc 0.0000 0.0000 0.0000 1
Br1 Br 0.0000 0.0000 0.5000 1
```

Values from the calculation:
The value obtained for the formation energy (no corrections) is -0.502 eV/atom. The total energy comes out at -9.54 eV per atom.

***

Entry from Alexandria via LeMat-Bulk: PmTm2Sn after structural relaxation (PBE-GGA).

Cell and atoms, written as CIF:
```
data_PmTm2Sn
_chemical_formula_sum 'Pm1 Tm2 Sn1'
_space_group_name_H-M_alt 'P 4/m m m'
_space_group_IT_number 123
_space_group_name_Hall '-P 4 2'
_cell_length_a 3.726
_cell_length_b 3.726
_cell_length_c 8.482
_cell_angle_alpha 90.00
_cell_angle_beta 90.00
_cell_angle_gamma 90.00
loop_
_atom_site_label
_atom_site_type_symbol
_atom_site_fract_x
_atom_site_fract_y
_atom_site_fract_z
_atom_site_occupancy
Pm1 Pm 0.000 0.000 0.000 1
Tm1 Tm 0.500 0.500 0.283 1
Sn1 Sn 0.000 0.000 0.500 1
```

Values from the calculation:
The total energy comes out at -4.72 eV per atom. Its energy relative to the elements is -293 meV/atom.

***

Entry from Alexandria via LeMat-Bulk: Cr3P after structural relaxation (PBE-GGA).

Cell and atoms, written as CIF:
```
data_Cr3P
_chemical_formula_sum 'Cr12 P4'
_space_group_name_H-M_alt 'P 63/m m c'
_space_group_IT_number 194
_space_group_name_Hall '-P 6c 2c'
_cell_length_a 4.9343
_cell_length_b 4.9343
_cell_length_c 8.6297
_cell_angle_alpha 90.00
_cell_angle_beta 90.00
_cell_angle_gamma 120.00
loop_
_atom_site_label
_atom_site_type_symbol
_atom_site_fract_x
_atom_site_fract_y
_atom_site_fract_z
_atom_site_occupancy
Cr1 Cr 0.0000 0.5000 0.0000 1
Cr2 Cr 0.1644 0.3288 0.2500 1
P1 P 0.0000 0.0000 0.0000 1
P2 P 0.3333 0.6667 0.7500 1
```

Values from the calculation:
The total energy comes out at -8.67 eV per atom. Its energy relative to the elements is -100 meV/atom.

***

Entry from Alexandria via LeMat-Bulk: BePdS after structural relaxation (PBE-GGA).

Cell and atoms, written as CIF:
```
data_BePdS
_chemical_formula_sum 'Be2 Pd2 S2'
_space_group_name_H-M_alt 'P 1 21 1'
_space_group_IT_number 4
_cell_length_a 3.506
_cell_length_b 5.803
_cell_length_c 4.503
_cell_angle_alpha 90.00
_cell_angle_beta 103.33
_cell_angle_gamma 90.00
loop_
_space_group_symop_operation_xyz
'x,y,z'
'-x,y+1/2,-z'
loop_
_atom_site_label
_atom_site_type_symbol
_atom_site_fract_x
_atom_site_fract_y
_atom_site_fract_z
_atom_site_occupancy
Be1 Be 0.200 0.000 0.416 1
Pd1 Pd 0.092 0.167 0.928 1
S1 S 0.248 0.363 0.409 1
```

Values from the calculation:
The value obtained for the formation energy (no corrections) is -0.450 eV/atom. The total energy comes out at -4.80 eV per atom.

***

Entry from Alexandria via LeMat-Bulk: Sm3PtAu2 after structural relaxation (PBE-GGA).

Cell and atoms, written as CIF:
```
data_Sm3PtAu2
_chemical_formula_sum 'Sm12 Pt4 Au8'
_space_group_name_H-M_alt 'C 1 2/c 1'
_space_group_IT_number 15
_cell_length_a 13.598
_cell_length_b 5.987
_cell_length_c 8.396
_cell_angle_alpha 90.00
_cell_angle_beta 107.97
_cell_angle_gamma 90.00
loop_
_space_group_symop_operation_xyz
'x,y,z'
'-x,-y,-z'
'-x,y,-z+1/2'
'x,-y,z+1/2'
'x+1/2,y+1/2,z'
'-x+1/2,-y+1/2,-z'
'-x+1/2,y+1/2,-z+1/2'
'x+1/2,-y+1/2,z+1/2'
loop_
_atom_site_label
_atom_site_type_symbol
_atom_site_fract_x
_atom_site_fract_y
_atom_site_fract_z
_atom_site_occupancy
Sm1 Sm 0.000 0.001 0.250 1
Sm2 Sm 0.154 0.499 0.077 1
Pt1 Pt 0.000 0.499 0.750 1
Au1 Au 0.172 0.001 0.586 1
```

Values from the calculation:
The total energy comes out at -5.31 eV per atom. Its energy relative to the elements is -850 meV/atom.

***

Entry from Alexandria via LeMat-Bulk: CeCoCu2 after structural relaxation (PBE-GGA).

Cell and atoms, written as CIF:
```
data_CeCoCu2
_chemical_formula_sum 'Ce4 Co4 Cu8'
_space_group_name_H-M_alt 'C m c m'
_space_group_IT_number 63
_space_group_name_Hall '-C 2c 2'
_cell_length_a 4.204
_cell_length_b 8.917
_cell_length_c 6.899
_cell_angle_alpha 90.00
_cell_angle_beta 90.00
_cell_angle_gamma 90.00
loop_
_atom_site_label
_atom_site_type_symbol
_atom_site_fract_x
_atom_site_fract_y
_atom_site_fract_z
_atom_site_occupancy
Ce1 Ce 0.000 0.057 0.250 1
Co1 Co 0.000 0.186 0.750 1
Cu1 Cu 0.000 0.347 0.051 1
```

Values from the calculation:
The total energy comes out at -5.47 eV per atom. Its energy relative to the elements is -157 meV/atom.

***

Entry from Alexandria via LeMat-Bulk: PrScSi2Rh after structural relaxation (PBE-GGA).

Cell and atoms, written as CIF:
```
data_PrScSi2Rh
_chemical_formula_sum 'Pr2 Sc2 Si4 Rh2'
_space_group_name_H-M_alt 'I -4 m 2'
_space_group_IT_number 119
_space_group_name_Hall 'I -4 -2'
_cell_length_a 4.158
_cell_length_b 4.158
_cell_length_c 11.156
_cell_angle_alpha 90.00
_cell_angle_beta 90.00
_cell_angle_gamma 90.00
loop_
_atom_site_label
_atom_site_type_symbol
_atom_site_fract_x
_atom_site_fract_y
_atom_site_fract_z
_atom_site_occupancy
Pr1 Pr 0.000 0.000 0.000 1
Sc1 Sc 0.000 0.500 0.750 1
Si1 Si 0.000 0.000 0.392 1
Rh1 Rh 0.000 0.500 0.250 1
```

Values from the calculation:
The value obtained for the formation energy (no corrections) is -0.908 eV/atom. The total energy comes out at -6.77 eV per atom.

***

Entry from Alexandria via LeMat-Bulk: HgSbI4 after structural relaxation (PBE-GGA).

Cell and atoms, written as CIF:
```
data_HgSbI4
_chemical_formula_sum 'Hg4 Sb4 I16'
_space_group_name_H-M_alt 'C 1 2/c 1'
_space_group_IT_number 15
_cell_length_a 9.644
_cell_length_b 18.561
_cell_length_c 7.644
_cell_angle_alpha 90.00
_cell_angle_beta 122.45
_cell_angle_gamma 90.00
loop_
_space_group_symop_operation_xyz
'x,y,z'
'-x,-y,-z'
'-x,y,-z+1/2'
'x,-y,z+1/2'
'x+1/2,y+1/2,z'
'-x+1/2,-y+1/2,-z'
'-x+1/2,y+1/2,-z+1/2'
'x+1/2,-y+1/2,z+1/2'
loop_
_atom_site_label
_atom_site_type_symbol
_atom_site_fract_x
_atom_site_fract_y
_atom_site_fract_z
_atom_site_occupancy
Hg1 Hg 0.000 0.197 0.250 1
Sb1 Sb 0.000 0.441 0.750 1
I1 I 0.185 0.313 0.728 1
I2 I 0.227 0.448 0.221 1
```

Values from the calculation:
The value obtained for the formation energy (no corrections) is -0.199 eV/atom. The total energy comes out at -1.97 eV per atom.